1.
Below is K2SrAg at its PBEsol-relaxed geometry, with properties calculated at the meta-GGA SCAN level.

a = 4.3387 Å, b = 4.3387 Å, c = 35.9609 Å
α = 90.00°, β = 90.00°, γ = 120.00°
Element x y z (fractional)
K 0.0000 0.0000 0.2273
K 0.0000 0.0000 0.7727
K 0.3333 0.6667 0.4394
K 0.3333 0.6667 0.8940
K 0.6667 0.3333 0.1060
K 0.6667 0.3333 0.5606
Sr 0.0000 0.0000 0.0000
Sr 0.3333 0.6667 0.6667
Sr 0.6667 0.3333 0.3333
Ag 0.0000 0.0000 0.5000
Ag 0.3333 0.6667 0.1667
Ag 0.6667 0.3333 0.8333

Results
- Space-group type: R-3m, No. 166
- VASP energy: -1.2803 Ry/atom
- Energy of formation: 156 meV per atom



2.
Below is KSr3Ag at its PBEsol-relaxed geometry, with properties calculated at the meta-GGA SCAN level.

a = 6.2465 Å, b = 6.2465 Å, c = 6.2465 Å
α = 90.00°, β = 90.00°, γ = 90.00°
Element x y z (fractional)
K 0.0000 0.0000 0.0000
Sr 0.0000 0.5000 0.5000
Sr 0.5000 0.0000 0.5000
Sr 0.5000 0.5000 0.0000
Ag 0.5000 0.5000 0.5000

Results
- Space-group type: Pm-3m, No. 221
- VASP energy: -1.5722 Ry/atom
- Energy of formation: -87 meV per atom



3.
Below is KSrAg4 at its PBEsol-relaxed geometry, with properties calculated at the meta-GGA SCAN level.

a = 5.7938 Å, b = 5.7938 Å, c = 5.7938 Å
α = 60.00°, β = 60.00°, γ = 60.00°
Element x y z (fractional)
K 0.0000 0.0000 0.0000
Sr 0.2500 0.2500 0.2500
Ag 0.1249 0.6250 0.6250
Ag 0.6250 0.1249 0.6250
Ag 0.6250 0.6250 0.1249
Ag 0.6250 0.6250 0.6250

Results
- Space-group type: F-43m, No. 216
- VASP energy: -1.9179 Ry/atom
- Energy of formation: -83 meV per atom



4.
Below is KSr4Ag at its PBEsol-relaxed geometry, with properties calculated at the meta-GGA SCAN level.

a = 7.6170 Å, b = 7.6170 Å, c = 7.6170 Å
α = 60.00°, β = 60.00°, γ = 60.00°
Element x y z (fractional)
K 0.0000 0.0000 0.0000
Sr 0.1263 0.6246 0.6246
Sr 0.6246 0.1263 0.6246
Sr 0.6246 0.6246 0.1263
Sr 0.6246 0.6246 0.6246
Ag 0.2500 0.2500 0.2500

Results
- Space-group type: F-43m, No. 216
- VASP energy: -1.5423 Ry/atom
- Energy of formation: 483 meV per atom



5.
Below is KSr2ZrAg at its PBEsol-relaxed geometry, with properties calculated at the meta-GGA SCAN level.

a = 5.8955 Å, b = 5.8955 Å, c = 5.0747 Å
α = 90.00°, β = 90.00°, γ = 90.00°
Element x y z (fractional)
K 0.0000 0.0000 0.0000
Sr 0.0000 0.5000 0.0000
Sr 0.5000 0.0000 0.0000
Zr 0.5000 0.5000 0.5000
Ag 0.0000 0.0000 0.5000

Results
- Space-group type: P4/mmm, No. 123
- VASP energy: -1.6049 Ry/atom
- Energy of formation: 1153 meV per atom



6.
Below is KTaAg3 at its PBEsol-relaxed geometry, with properties calculated at the meta-GGA SCAN level.

a = 4.9447 Å, b = 4.9447 Å, c = 4.9447 Å
α = 90.00°, β = 90.00°, γ = 90.00°
Element x y z (fractional)
K 0.0000 0.0000 0.0000
Ta 0.5000 0.5000 0.5000
Ag 0.0000 0.0000 0.5000
Ag 0.0000 0.5000 0.0000
Ag 0.5000 0.0000 0.0000

Results
- Space-group type: Pm-3m, No. 221
- VASP energy: -2.3341 Ry/atom
- Energy of formation: 2046 meV per atom



7.
Below is KTc2Ag at its PBEsol-relaxed geometry, with properties calculated at the meta-GGA SCAN level.

a = 3.0739 Å, b = 5.4654 Å, c = 9.7969 Å
α = 90.00°, β = 90.00°, γ = 90.00°
Element x y z (fractional)
K 0.0000 0.0000 0.0000
K 0.5000 0.5000 0.5000
Tc 0.0000 0.0000 0.4637
Tc 0.0000 0.5000 0.7967
Tc 0.5000 0.0000 0.2967
Tc 0.5000 0.5000 0.9637
Ag 0.0000 0.5000 0.2088
Ag 0.5000 0.0000 0.7088

Results
- Space-group type: Imm2, No. 44
- VASP energy: -1.9415 Ry/atom
- Energy above the most stable polymorph in this dataset: 0 meV/atom
- Energy of formation: 1039 meV per atom



8.
Below is KTc2Ag at its PBEsol-relaxed geometry, with properties calculated at the meta-GGA SCAN level.

a = 5.3385 Å, b = 10.5614 Å, c = 2.5714 Å
α = 90.00°, β = 106.06°, γ = 90.00°
Element x y z (fractional)
K 0.0000 0.0000 0.0000
K 0.5000 0.5000 0.0000
Tc 0.2500 0.2500 0.5000
Tc 0.2500 0.7500 0.5000
Tc 0.7500 0.2500 0.5000
Tc 0.7500 0.7500 0.5000
Ag 0.0000 0.5000 0.0000
Ag 0.5000 0.0000 0.0000

Results
- Space-group type: C2/m, No. 12
- VASP energy: -1.9341 Ry/atom
- Energy above the most stable polymorph in this dataset: 100 meV/atom
- Energy of formation: 1139 meV per atom



9.
Below is K2AgTe at its PBEsol-relaxed geometry, with properties calculated at the meta-GGA SCAN level.

a = 5.1912 Å, b = 5.1912 Å, c = 9.1598 Å
α = 90.00°, β = 90.00°, γ = 90.00°
Element x y z (fractional)
K 0.0000 0.5000 0.2500
K 0.0000 0.5000 0.7500
K 0.5000 0.0000 0.2500
K 0.5000 0.0000 0.7500
Ag 0.0000 0.0000 0.0000
Ag 0.5000 0.5000 0.5000
Te 0.0000 0.0000 0.5000
Te 0.5000 0.5000 0.0000

Results
- Space-group type: I4/mmm, No. 139
- VASP energy: -1.5995 Ry/atom
- Formation energy without anion corrections: -1.77 eV/f.u.



10.
Below is K2AgTe at its PBEsol-relaxed geometry, with properties calculated at the meta-GGA SCAN level.

a = 9.3051 Å, b = 3.2156 Å, c = 8.9602 Å
α = 90.00°, β = 95.40°, γ = 90.00°
Element x y z (fractional)
K 0.2464 0.0000 0.2447
K 0.2536 0.5000 0.7553
K 0.7464 0.5000 0.2447
K 0.7536 0.0000 0.7553
Ag 0.0000 0.0000 0.5000
Ag 0.5000 0.5000 0.5000
Te 0.0000 0.5000 0.0000
Te 0.5000 0.0000 0.0000

Results
- Space-group type: C2/m, No. 12
- VASP energy: -1.5929 Ry/atom
- Formation energy without anion corrections: -1.42 eV/f.u.



11.
Below is K2AgTe2 at its PBEsol-relaxed geometry, with properties calculated at the meta-GGA SCAN level.

a = 6.8329 Å, b = 6.8329 Å, c = 8.3926 Å
α = 90.00°, β = 90.00°, γ = 90.00°
Element x y z (fractional)
K 0.0000 0.5000 0.2500
K 0.0000 0.5000 0.7500
K 0.5000 0.0000 0.2500
K 0.5000 0.0000 0.7500
Ag 0.0000 0.0000 0.0000
Ag 0.5000 0.5000 0.5000
Te 0.0000 0.0000 0.3121
Te 0.0000 0.0000 0.6879
Te 0.5000 0.5000 0.1879
Te 0.5000 0.5000 0.8121

Results
- Space-group type: I4/mmm, No. 139
- VASP energy: -1.8415 Ry/atom
- Formation energy without anion corrections: -2.75 eV/f.u.



12.
Below is KAgW2 at its PBEsol-relaxed geometry, with properties calculated at the meta-GGA SCAN level.

a = 3.1720 Å, b = 4.5579 Å, c = 10.4072 Å
α = 90.00°, β = 90.00°, γ = 90.00°
Element x y z (fractional)
K 0.0000 0.0000 0.0000
K 0.5000 0.5000 0.0000
Ag 0.0000 0.5000 0.2778
Ag 0.5000 0.0000 0.2778
W 0.0000 0.0000 0.5038
W 0.0000 0.5000 0.7060
W 0.5000 0.0000 0.7060
W 0.5000 0.5000 0.5038

Results
- Space-group type: Cmm2, No. 35
- VASP energy: -3.2350 Ry/atom
- Energy of formation: 753 meV per atom



13.
Below is KAg3W at its PBEsol-relaxed geometry, with properties calculated at the meta-GGA SCAN level.

a = 5.0007 Å, b = 5.0007 Å, c = 5.0007 Å
α = 90.00°, β = 90.00°, γ = 90.00°
Element x y z (fractional)
K 0.0000 0.0000 0.0000
Ag 0.0000 0.0000 0.5000
Ag 0.0000 0.5000 0.0000
Ag 0.5000 0.0000 0.0000
W 0.5000 0.5000 0.5000

Results
- Space-group type: Pm-3m, No. 221
- VASP energy: -2.3597 Ry/atom
- Energy of formation: 2319 meV per atom



14.
Below is KAg2W at its PBEsol-relaxed geometry, with properties calculated at the meta-GGA SCAN level.

a = 2.7749 Å, b = 2.7749 Å, c = 9.9690 Å
α = 90.00°, β = 90.00°, γ = 90.00°
Element x y z (fractional)
K 0.0000 0.0000 0.0000
Ag 0.0000 0.0000 0.5051
Ag 0.5000 0.5000 0.7156
W 0.5000 0.5000 0.2929

Results
- Space-group type: P4mm, No. 99
- VASP energy: -2.5256 Ry/atom
- Energy above the most stable polymorph in this dataset: 0 meV/atom
- Energy of formation: 826 meV per atom



15.
Below is KAg2W at its PBEsol-relaxed geometry, with properties calculated at the meta-GGA SCAN level.

a = 2.6978 Å, b = 5.1895 Å, c = 11.2662 Å
α = 90.00°, β = 90.00°, γ = 90.00°
Element x y z (fractional)
K 0.0000 0.0000 0.0000
K 0.5000 0.5000 0.5000
Ag 0.0000 0.0000 0.5060
Ag 0.0000 0.5000 0.2300
Ag 0.5000 0.0000 0.7300
Ag 0.5000 0.5000 0.0060
W 0.0000 0.5000 0.7864
W 0.5000 0.0000 0.2864

Results
- Space-group type: Imm2, No. 44
- VASP energy: -2.5139 Ry/atom
- Energy above the most stable polymorph in this dataset: 158 meV/atom
- Energy of formation: 984 meV per atom